Record 1
The following is a PBE-GGA calculation of crystalline CaAl2Tl at its relaxed geometry, from Alexandria via LeMat-Bulk.

abc: 4.4805 4.4805 4.5465
angles: 90.00 90.00 90.00
Sites, in units of the cell vectors:
1 Ca 0.0000 0.0000 0.0000
2 Al 0.0000 0.5000 0.5000
3 Al 0.5000 0.0000 0.5000
4 Tl 0.5000 0.5000 0.0000

Values from the calculation:
calculated formation energy	-0.08	eV/atom
Fermi-level density of states	2.3	states/eV per cell
SG	No. 123
distance to the lowest polymorph of the same formula	0.0	meV per atom
total DFT energy (no corrections)	-3.04	eV/atom

Record 2
The following is a PBE-GGA calculation of crystalline CaAlTl2 at its relaxed geometry, from Alexandria via LeMat-Bulk.

abc: 5.3716 5.3716 5.3716
angles: 60.00 60.00 60.00
Sites, in units of the cell vectors:
1 Ca 0.0000 0.0000 0.0000
2 Al 0.2500 0.2500 0.2500
3 Tl 0.5000 0.5000 0.5000
4 Tl 0.7500 0.7500 0.7500

Values from the calculation:
calculated formation energy	-0.01	eV/atom
Fermi-level density of states	3.3	states/eV per cell
SG	No. 216
total DFT energy (no corrections)	-2.62	eV/atom

Record 3
The following is a PBE-GGA calculation of crystalline CaAl2Tl at its relaxed geometry, from Alexandria via LeMat-Bulk.

abc: 5.3952 5.3952 3.5165
angles: 90.00 90.00 109.29
Sites, in units of the cell vectors:
1 Ca 0.0000 0.0000 0.0000
2 Al 0.0000 0.5000 0.5000
3 Al 0.5000 0.0000 0.5000
4 Tl 0.5000 0.5000 0.0000

Values from the calculation:
calculated formation energy	0.01	eV/atom
Fermi-level density of states	1.6	states/eV per cell
SG	No. 65
distance to the lowest polymorph of the same formula	85.8	meV per atom
total DFT energy (no corrections)	-2.95	eV/atom

Record 4
The following is a PBE-GGA calculation of crystalline CaAl3Tl at its relaxed geometry, from Alexandria via LeMat-Bulk.

abc: 5.6700 5.6700 5.6700
angles: 90.00 90.00 90.00
Sites, in units of the cell vectors:
1 Ca 0.0000 0.0000 0.0000
2 Al 0.0000 0.0000 0.5000
3 Al 0.0000 0.5000 0.0000
4 Al 0.5000 0.0000 0.0000
5 Tl 0.5000 0.5000 0.5000

Values from the calculation:
calculated formation energy	1.00	eV/atom
Fermi-level density of states	4.5	states/eV per cell
SG	No. 221
distance to the lowest polymorph of the same formula	384.8	meV per atom
total DFT energy (no corrections)	-2.12	eV/atom

Record 5
The following is a PBE-GGA calculation of crystalline CaAl2Tl at its relaxed geometry, from Alexandria via LeMat-Bulk.

abc: 10.5896 10.5896 10.5896
angles: 154.14 154.14 36.90
Sites, in units of the cell vectors:
1 Ca 0.0000 0.0000 0.0000
2 Ca 0.7500 0.2500 0.5000
3 Al 0.2521 0.6250 0.1271
4 Al 0.3750 0.5021 0.6271
5 Al 0.4979 0.1250 0.8729
6 Al 0.8750 0.7479 0.3729
7 Tl 0.2500 0.7500 0.5000
8 Tl 0.5000 0.5000 0.0000

Values from the calculation:
calculated formation energy	0.16	eV/atom
Fermi-level density of states	3.4	states/eV per cell
SG	No. 122
distance to the lowest polymorph of the same formula	233.6	meV per atom
total DFT energy (no corrections)	-2.81	eV/atom

Record 6
The following is a PBE-GGA calculation of crystalline CaAl2Tl at its relaxed geometry, from Alexandria via LeMat-Bulk.

abc: 5.1812 5.1812 5.1812
angles: 60.00 60.00 60.00
Sites, in units of the cell vectors:
1 Ca 0.0000 0.0000 0.0000
2 Al 0.2500 0.2500 0.2500
3 Al 0.7500 0.7500 0.7500
4 Tl 0.5000 0.5000 0.5000

Values from the calculation:
calculated formation energy	0.10	eV/atom
Fermi-level density of states	4.2	states/eV per cell
SG	No. 225
distance to the lowest polymorph of the same formula	177.4	meV per atom
total DFT energy (no corrections)	-2.86	eV/atom

Record 7
The following is a PBE-GGA calculation of crystalline CaAlTl4 at its relaxed geometry, from Alexandria via LeMat-Bulk.

abc: 6.3587 6.3587 6.3587
angles: 60.00 60.00 60.00
Sites, in units of the cell vectors:
1 Ca 0.0000 0.0000 0.0000
2 Al 0.2500 0.2500 0.2500
3 Tl 0.1260 0.6247 0.6247
4 Tl 0.6247 0.1260 0.6247
5 Tl 0.6247 0.6247 0.1260
6 Tl 0.6247 0.6247 0.6247

Values from the calculation:
calculated formation energy	0.12	eV/atom
Fermi-level density of states	3.8	states/eV per cell
SG	No. 216
total DFT energy (no corrections)	-2.41	eV/atom

Record 8
The following is a PBE-GGA calculation of crystalline Ca2AlTl at its relaxed geometry, from Alexandria via LeMat-Bulk.

abc: 5.3503 5.3503 3.8541
angles: 90.08 90.08 90.10
Sites, in units of the cell vectors:
1 Ca 0.0000 0.5000 0.0000
2 Ca 0.5000 0.0000 0.0000
3 Al 0.0000 0.0000 0.5000
4 Tl 0.5000 0.5000 0.5000

Values from the calculation:
calculated formation energy	-0.30	eV/atom
Fermi-level density of states	2.3	states/eV per cell
SG	No. 12
distance to the lowest polymorph of the same formula	0.0	meV per atom
total DFT energy (no corrections)	-2.83	eV/atom

Record 9
The following is a PBE-GGA calculation of crystalline Ca2AlTl at its relaxed geometry, from Alexandria via LeMat-Bulk.

abc: 6.9374 6.9374 6.9374
angles: 104.56 104.56 119.81
Sites, in units of the cell vectors:
1 Ca 0.1182 0.6250 0.9932
2 Ca 0.3750 0.3682 0.4932
3 Ca 0.6318 0.1250 0.0068
4 Ca 0.8750 0.8818 0.5068
5 Al 0.0000 0.0000 0.0000
6 Al 0.7500 0.2500 0.5000
7 Tl 0.2500 0.7500 0.5000
8 Tl 0.5000 0.5000 0.0000

Values from the calculation:
calculated formation energy	0.05	eV/atom
Fermi-level density of states	8.6	states/eV per cell
SG	No. 122
distance to the lowest polymorph of the same formula	352.6	meV per atom
total DFT energy (no corrections)	-2.48	eV/atom

Record 10
The following is a PBE-GGA calculation of crystalline CaAl2Tl at its relaxed geometry, from Alexandria via LeMat-Bulk.

abc: 3.5163 4.7002 5.9818
angles: 90.00 98.76 90.00
Sites, in units of the cell vectors:
1 Ca 0.0000 0.0000 0.0000
2 Al 0.3852 0.0000 0.5345
3 Al 0.4207 0.5000 0.7670
4 Tl 0.6784 0.5000 0.3046

Values from the calculation:
calculated formation energy	-0.04	eV/atom
Fermi-level density of states	2.1	states/eV per cell
SG	No. 6
distance to the lowest polymorph of the same formula	41.7	meV per atom
total DFT energy (no corrections)	-3.00	eV/atom

Record 11
The following is a PBE-GGA calculation of crystalline CaAlTl at its relaxed geometry, from Alexandria via LeMat-Bulk.

abc: 4.8416 4.8416 7.6556
angles: 90.00 90.00 120.00
Sites, in units of the cell vectors:
1 Ca 0.0000 0.0000 0.2393
2 Ca 0.0000 0.0000 0.7607
3 Al 0.3333 0.6667 0.0267
4 Al 0.6667 0.3333 0.9733
5 Tl 0.3333 0.6667 0.4319
6 Tl 0.6667 0.3333 0.5681

Values from the calculation:
calculated formation energy	-0.25	eV/atom
Fermi-level density of states	2.6	states/eV per cell
SG	No. 164
total DFT energy (no corrections)	-2.95	eV/atom

Record 12
The following is a PBE-GGA calculation of crystalline CaAl4Tl at its relaxed geometry, from Alexandria via LeMat-Bulk.

abc: 5.6913 5.6913 5.6913
angles: 60.00 60.00 60.00
Sites, in units of the cell vectors:
1 Ca 0.0000 0.0000 0.0000
2 Al 0.3747 0.3747 0.3747
3 Al 0.3747 0.3747 0.8760
4 Al 0.3747 0.8760 0.3747
5 Al 0.8760 0.3747 0.3747
6 Tl 0.7500 0.7500 0.7500

Values from the calculation:
calculated formation energy	-0.05	eV/atom
Fermi-level density of states	4.4	states/eV per cell
SG	No. 216
total DFT energy (no corrections)	-3.28	eV/atom

Record 13
The following is a PBE-GGA calculation of crystalline Ca5Al2Tl at its relaxed geometry, from Alexandria via LeMat-Bulk.

abc: 9.5089 9.5089 9.5089
angles: 129.06 129.06 74.92
Sites, in units of the cell vectors:
1 Ca 0.0000 0.0000 0.0000
2 Ca 0.0313 0.5313 0.8493
3 Ca 0.1820 0.0313 0.5000
4 Ca 0.3180 0.8180 0.8493
5 Ca 0.4687 0.3180 0.5000
6 Ca 0.5000 0.5000 0.0000
7 Ca 0.5313 0.6820 0.5000
8 Ca 0.6820 0.1820 0.1507
9 Ca 0.8180 0.9687 0.5000
10 Ca 0.9687 0.4687 0.1507
11 Al 0.1122 0.3878 0.5000
12 Al 0.3878 0.8878 0.2755
13 Al 0.6122 0.1122 0.7245
14 Al 0.8878 0.6122 0.5000
15 Tl 0.2500 0.2500 0.0000
16 Tl 0.7500 0.7500 0.0000

Values from the calculation:
calculated formation energy	-0.26	eV/atom
Fermi-level density of states	15.0	states/eV per cell
SG	No. 140
total DFT energy (no corrections)	-2.74	eV/atom

Record 14
The following is a PBE-GGA calculation of crystalline CaAlTl2 at its relaxed geometry, from Alexandria via LeMat-Bulk.

abc: 11.2104 11.2104 11.2104
angles: 155.86 155.86 34.40
Sites, in units of the cell vectors:
1 Ca 0.0000 0.0000 0.0000
2 Ca 0.7500 0.2500 0.5000
3 Al 0.2500 0.7500 0.5000
4 Al 0.5000 0.5000 0.0000
5 Tl 0.1455 0.6250 0.0205
6 Tl 0.3750 0.3955 0.5205
7 Tl 0.6045 0.1250 0.9795
8 Tl 0.8750 0.8545 0.4795

Values from the calculation:
calculated formation energy	0.06	eV/atom
Fermi-level density of states	4.8	states/eV per cell
SG	No. 122
total DFT energy (no corrections)	-2.56	eV/atom

Record 15
The following is a PBE-GGA calculation of crystalline CaAlTl2 at its relaxed geometry, from Alexandria via LeMat-Bulk.

abc: 3.8598 3.8598 7.3254
angles: 90.00 90.00 90.00
Sites, in units of the cell vectors:
1 Ca 0.0000 0.0000 0.0000
2 Al 0.5000 0.5000 0.7408
3 Tl 0.0000 0.0000 0.5350
4 Tl 0.5000 0.5000 0.2737

Values from the calculation:
calculated formation energy	-0.05	eV/atom
Fermi-level density of states	2.3	states/eV per cell
SG	No. 99
total DFT energy (no corrections)	-2.67	eV/atom

Record 16
The following is a PBE-GGA calculation of crystalline CaAl2Tl at its relaxed geometry, from Alexandria via LeMat-Bulk.

abc: 5.6942 5.6942 5.6942
angles: 133.64 133.64 67.66
Sites, in units of the cell vectors:
1 Ca 0.0000 0.0000 0.0000
2 Al 0.2500 0.7500 0.5000
3 Al 0.7500 0.2500 0.5000
4 Tl 0.5000 0.5000 0.0000

Values from the calculation:
calculated formation energy	-0.02	eV/atom
Fermi-level density of states	2.2	states/eV per cell
SG	No. 139
distance to the lowest polymorph of the same formula	61.4	meV per atom
total DFT energy (no corrections)	-2.98	eV/atom

Record 17
The following is a PBE-GGA calculation of crystalline Ca2Al2Tl at its relaxed geometry, from Alexandria via LeMat-Bulk.

abc: 8.1055 8.1055 4.0827
angles: 90.00 90.00 90.00
Sites, in units of the cell vectors:
1 Ca 0.1788 0.3212 0.0000
2 Ca 0.3212 0.8212 0.0000
3 Ca 0.6788 0.1788 0.0000
4 Ca 0.8212 0.6788 0.0000
5 Al 0.1152 0.6152 0.5000
6 Al 0.3848 0.1152 0.5000
7 Al 0.6152 0.8848 0.5000
8 Al 0.8848 0.3848 0.5000
9 Tl 0.0000 0.0000 0.5000
10 Tl 0.5000 0.5000 0.5000

Values from the calculation:
calculated formation energy	-0.16	eV/atom
Fermi-level density of states	6.3	states/eV per cell
SG	No. 127
distance to the lowest polymorph of the same formula	0.0	meV per atom
total DFT energy (no corrections)	-2.93	eV/atom

Record 18
The following is a PBE-GGA calculation of crystalline CaTmAlTl at its relaxed geometry, from Alexandria via LeMat-Bulk.

abc: 5.2807 5.2807 5.2807
angles: 60.00 60.00 60.00
Sites, in units of the cell vectors:
1 Ca 0.0000 0.0000 0.0000
2 Tm 0.5000 0.5000 0.5000
3 Al 0.7500 0.7500 0.7500
4 Tl 0.2500 0.2500 0.2500

Values from the calculation:
calculated formation energy	-0.28	eV/atom
Fermi-level density of states	2.2	states/eV per cell
SG	No. 216
total DFT energy (no corrections)	-3.42	eV/atom

Record 19
The following is a PBE-GGA calculation of crystalline Ca2AlTlW at its relaxed geometry, from Alexandria via LeMat-Bulk.

abc: 5.6134 5.6134 4.8046
angles: 90.00 90.00 90.00
Sites, in units of the cell vectors:
1 Ca 0.0000 0.5000 0.0000
2 Ca 0.5000 0.0000 0.0000
3 Al 0.0000 0.0000 0.0000
4 Tl 0.5000 0.5000 0.5000
5 W 0.0000 0.0000 0.5000

Values from the calculation:
calculated formation energy	0.79	eV/atom
Fermi-level density of states	4.5	states/eV per cell
SG	No. 123
total DFT energy (no corrections)	-3.82	eV/atom

Record 20
The following is a PBE-GGA calculation of crystalline CaYAlTl at its relaxed geometry, from Alexandria via LeMat-Bulk.

abc: 5.3128 5.3128 5.3128
angles: 60.00 60.00 60.00
Sites, in units of the cell vectors:
1 Ca 0.0000 0.0000 0.0000
2 Y 0.5000 0.5000 0.5000
3 Al 0.7500 0.7500 0.7500
4 Tl 0.2500 0.2500 0.2500

Values from the calculation:
calculated formation energy	-0.31	eV/atom
Fermi-level density of states	2.5	states/eV per cell
SG	No. 216
total DFT energy (no corrections)	-3.95	eV/atom